1.
Crystalline TlCuHPd2 at its relaxed geometry. Source: the Alexandria database, functional PBE.

The calculation puts the calculated volume at 77.5 Å³/f.u. Its symmetry is P4/mmm. For the total magnetization, the calculation gives 0.00 μB/cell. Its crystal system is tetragonal. For the calculated total energy, the calculation gives -3.82 eV per atom.

Cell lengths 5.0392, 5.0392, 3.0507 Å; angles 90.00, 90.00, 90.00 degrees
Atoms (fractional coordinates):
Tl 0.0000 0.0000 0.0000
Cu 0.5000 0.5000 0.5000
H 0.5000 0.5000 0.0000
Pd 0.0000 0.5000 0.5000
Pd 0.5000 0.0000 0.5000

=====

2.
Crystalline TlCuHPd2 at its relaxed geometry. Source: the Alexandria database, functional PBE.

The calculation puts the calculated volume at 71.2 Å³/f.u. Its symmetry is P4/mmm. For the total magnetization, the calculation gives 0.00 μB/cell. Its crystal system is tetragonal. For the calculated total energy, the calculation gives -3.93 eV per atom.

Cell lengths 3.9565, 3.9565, 4.5467 Å; angles 90.00, 90.00, 90.00 degrees
Atoms (fractional coordinates):
Tl 0.0000 0.0000 0.0000
Cu 0.5000 0.5000 0.0000
H 0.0000 0.0000 0.5000
Pd 0.0000 0.5000 0.5000
Pd 0.5000 0.0000 0.5000

=====

3.
Crystalline Tm2CuHPd6 at its relaxed geometry. Source: the Alexandria database, functional PBE.

The calculation puts the calculated volume at 163.7 Å³/f.u. Its symmetry is P-1. For the total magnetization, the calculation gives 0.00 μB/cell. Its crystal system is triclinic. For the calculated total energy, the calculation gives -5.35 eV per atom.

Cell lengths 5.5897, 5.6129, 6.7095 Å; angles 66.41, 66.00, 61.81 degrees
Atoms (fractional coordinates):
Tm 0.2417 0.2486 0.3199
Tm 0.7583 0.7514 0.6801
Cu 0.5000 0.5000 0.5000
H 0.0000 0.0000 0.0000
Pd 0.2023 0.6886 0.8393
Pd 0.2210 0.2125 0.7703
Pd 0.3014 0.8026 0.1683
Pd 0.6986 0.1974 0.8317
Pd 0.7790 0.7875 0.2297
Pd 0.7977 0.3114 0.1607

=====

4.
Crystalline V2CuHPd at its relaxed geometry. Source: the Alexandria database, functional PBE.

The calculation puts the calculated volume at 56.0 Å³/f.u. Its symmetry is P4/mmm. For the total magnetization, the calculation gives 0.00 μB/cell. Its crystal system is tetragonal. For the calculated total energy, the calculation gives -6.24 eV per atom.

Cell lengths 3.7526, 3.7526, 3.9794 Å; angles 90.00, 90.00, 90.00 degrees
Atoms (fractional coordinates):
V 0.0000 0.5000 0.0000
V 0.5000 0.0000 0.0000
Cu 0.0000 0.0000 0.5000
H 0.0000 0.0000 0.0000
Pd 0.5000 0.5000 0.5000

=====

5.
Crystalline V2CuHPd at its relaxed geometry. Source: the Alexandria database, functional PBE.

The calculation puts the calculated volume at 56.6 Å³/f.u. Its symmetry is P4/mmm. For the total magnetization, the calculation gives 0.00 μB/cell. Its crystal system is tetragonal. For the calculated total energy, the calculation gives -6.20 eV per atom.

Cell lengths 3.7568, 3.7568, 4.0068 Å; angles 90.00, 90.00, 90.00 degrees
Atoms (fractional coordinates):
V 0.0000 0.5000 0.0000
V 0.5000 0.0000 0.0000
Cu 0.0000 0.0000 0.5000
H 0.5000 0.5000 0.0000
Pd 0.5000 0.5000 0.5000

=====

6.
Crystalline VCuHPd2 at its relaxed geometry. Source: the Alexandria database, functional PBE.

The calculation puts the calculated volume at 60.9 Å³/f.u. Its symmetry is P4/mmm. For the total magnetization, the calculation gives 2.72 μB/cell. Its crystal system is tetragonal. For the calculated total energy, the calculation gives -5.42 eV per atom.

Cell lengths 3.9323, 3.9323, 3.9355 Å; angles 90.00, 90.00, 90.00 degrees
Atoms (fractional coordinates):
V 0.0000 0.0000 0.0000
Cu 0.5000 0.5000 0.0000
H 0.0000 0.0000 0.5000
Pd 0.0000 0.5000 0.5000
Pd 0.5000 0.0000 0.5000

=====

7.
Crystalline Y2CuHPd6 at its relaxed geometry. Source: the Alexandria database, functional PBE.

The calculation puts the calculated volume at 167.0 Å³/f.u. Its symmetry is P-1. For the total magnetization, the calculation gives 0.00 μB/cell. Its crystal system is triclinic. For the calculated total energy, the calculation gives -5.74 eV per atom.

Cell lengths 5.6889, 5.7070, 6.7687 Å; angles 65.47, 65.18, 60.17 degrees
Atoms (fractional coordinates):
Y 0.2213 0.2267 0.3324
Y 0.7787 0.7733 0.6676
Cu 0.5000 0.5000 0.5000
H 0.0000 0.0000 0.0000
Pd 0.2295 0.7235 0.8151
Pd 0.2323 0.2251 0.8064
Pd 0.2672 0.7755 0.1915
Pd 0.7328 0.2245 0.8085
Pd 0.7677 0.7749 0.1936
Pd 0.7705 0.2765 0.1849

=====

8.
Crystalline ZnCuHPd2 at its relaxed geometry. Source: the Alexandria database, functional PBE.

The calculation puts the calculated volume at 59.9 Å³/f.u. Its symmetry is P4/mmm. For the total magnetization, the calculation gives 0.00 μB/cell. Its crystal system is tetragonal. For the calculated total energy, the calculation gives -3.99 eV per atom.

Cell lengths 3.9428, 3.9428, 3.8556 Å; angles 90.00, 90.00, 90.00 degrees
Atoms (fractional coordinates):
Zn 0.0000 0.0000 0.0000
Cu 0.5000 0.5000 0.0000
H 0.0000 0.0000 0.5000
Pd 0.0000 0.5000 0.5000
Pd 0.5000 0.0000 0.5000